## one
This record from Alexandria via LeMat-Bulk describes a relaxed BeRhW crystal. The functional is GGA-PBE.

```
BeRhW
1.0
-1.8071 2.0463 0.4233
-0.5896 -2.5614 0.8506
2.5951 1.1828 5.3604
Rh W Be
1 1 1
direct
0.6667 0.3333 0.3116
0.3333 0.6667 0.6750
0.0000 0.0000 0.0134
```

Fermi-level density of states = 0.60 states/eV per atom

## two
This record from Alexandria via LeMat-Bulk describes a relaxed BeRhW crystal. The functional is GGA-PBE.

```
BeRhW
1.0
5.2251 -0.0042 0.0046
4.4790 2.6908 0.0034
0.7461 0.2078 2.6870
Be W Rh
1 1 1
direct
0.9881 0.9881 0.0119
0.6586 0.6586 0.3414
0.3532 0.3532 0.6468
```

Fermi-level density of states = 0.60 states/eV per atom

List of relative energies, unit meV/atom: one 308; two 0

## one
This record from Alexandria via LeMat-Bulk describes a relaxed BeRhW crystal. The functional is GGA-PBE.

```
BeRhW
1.0
-0.8293 1.0230 3.8238
-3.6451 -0.7953 1.5608
-0.4103 -2.8716 2.8179
Rh Be W
1 1 1
direct
0.7500 0.7500 0.7500
0.5000 0.5000 0.5000
0.0000 0.0000 0.0000
```

Fermi-level density of states = 1.59 states/eV per atom

## two
This record from Alexandria via LeMat-Bulk describes a relaxed BeRhW crystal. The functional is GGA-PBE.

```
BeRhW
1.0
4.0715 0.0000 0.0000
2.0357 3.5260 0.0000
2.0357 1.1753 3.3243
Rh Be W
1 1 1
direct
0.5000 0.5000 0.5000
0.0000 0.0000 0.0000
0.7500 0.7500 0.7500
```

Fermi-level density of states = 1.17 states/eV per atom

List of relative energies, unit meV/atom: one 0; two 364

## one
This record from Alexandria via LeMat-Bulk describes a relaxed YBe2Rh crystal. The functional is GGA-PBE.

```
YBe2Rh
1.0
4.8352 -0.0029 -0.0002
1.4137 4.6239 0.0002
-2.5727 -3.0567 2.7235
Y Be Rh
1 2 1
direct
0.2468 0.7468 0.5000
0.7648 0.2648 0.5000
0.9457 0.9457 0.0000
0.5427 0.5427 0.0000
```

Fermi-level density of states = 0.29 states/eV per atom

## two
This record from Alexandria via LeMat-Bulk describes a relaxed YBe2Rh crystal. The functional is GGA-PBE.

```
YBe2Rh
1.0
-3.6543 -1.6591 1.2745
-1.2141 -0.4071 -4.0113
0.7222 -8.1633 -1.6002
Y Rh Be
2 2 4
direct
0.5000 0.5000 0.0000
0.2500 0.7500 0.5000
0.0000 0.0000 0.0000
0.7500 0.2500 0.5000
0.3750 0.1247 0.7500
0.8750 0.1253 0.7500
0.8753 0.1250 0.2500
0.8747 0.6250 0.2500
```

Fermi-level density of states = 0.57 states/eV per atom

List of relative energies, unit meV/atom: one 127; two 0

## one
This record from Alexandria via LeMat-Bulk describes a relaxed YBe2Rh crystal. The functional is GGA-PBE.

```
YBe2Rh
1.0
-3.4538 0.1815 -0.9091
-0.6028 -2.4928 1.7923
-1.2224 1.9516 5.0333
Be Rh Y
2 1 1
direct
0.0000 0.1524 0.0691
0.5000 0.0573 0.2619
0.0000 0.4943 0.3862
0.5000 0.7960 0.7828
```

Fermi-level density of states = 0.69 states/eV per atom

## two
This record from Alexandria via LeMat-Bulk describes a relaxed YBe2Rh crystal. The functional is GGA-PBE.

```
YBe2Rh
1.0
4.4472 -0.0074 0.0026
-1.2530 4.2670 0.0026
-0.0021 -0.0028 3.1217
Be Y Rh
2 1 1
direct
0.5000 0.5000 0.0000
0.0000 0.0000 0.0000
0.0000 0.5000 0.5000
0.5000 0.0000 0.5000
```

Fermi-level density of states = 0.31 states/eV per atom

List of relative energies, unit meV/atom: one 0; two 340

## one
This record from Alexandria via LeMat-Bulk describes a relaxed YBe2Rh crystal. The functional is GGA-PBE.

```
YBe2Rh
1.0
-2.9903 -1.7394 1.7086
2.4371 -2.2134 2.0120
0.0793 2.8609 3.0513
Rh Be Y
1 2 1
direct
0.5000 0.0000 0.5000
0.0000 0.0000 0.0000
0.5000 0.5000 0.0000
0.0000 0.5000 0.5000
```

Fermi-level density of states = 0.44 states/eV per atom

## two
This record from Alexandria via LeMat-Bulk describes a relaxed YBe2Rh crystal. The functional is GGA-PBE.

```
YBe2Rh
1.0
0.0000 3.0655 3.0655
3.0655 0.0000 3.0655
3.0655 3.0655 0.0000
Y Rh Be
1 1 2
direct
0.0000 0.0000 0.0000
0.5000 0.5000 0.5000
0.2500 0.2500 0.2500
0.7500 0.7500 0.7500
```

Fermi-level density of states = 1.02 states/eV per atom

List of relative energies, unit meV/atom: one 226; two 0

## one
This record from Alexandria via LeMat-Bulk describes a relaxed YBeRh crystal. The functional is GGA-PBE.

```
YBeRh
1.0
3.9461 -0.0009 0.0000
-1.9723 3.4178 0.0000
0.0000 0.0000 7.8776
Rh Y Be
2 2 2
direct
0.3334 0.1666 0.2500
0.6666 0.8334 0.7500
0.0000 0.5000 0.5000
0.0000 0.5000 0.0000
0.3333 0.1667 0.7500
0.6667 0.8333 0.2500
```

Fermi-level density of states = 0.56 states/eV per atom

## two
This record from Alexandria via LeMat-Bulk describes a relaxed YBeRh crystal. The functional is GGA-PBE.

```
YBeRh
1.0
-0.5386 -2.9514 -2.8451
-3.0701 -4.2470 4.9869
-6.1049 2.6014 -1.5430
Y Be Rh
4 4 4
direct
0.2500 0.6941 0.9948
0.2500 0.8059 0.4948
0.7500 0.1941 0.5052
0.7500 0.3059 0.0052
0.7500 0.9117 0.1802
0.7500 0.5883 0.6802
0.2500 0.4117 0.3198
0.2500 0.0883 0.8198
0.7500 0.5710 0.3281
0.2500 0.0710 0.1719
0.2500 0.4290 0.6719
0.7500 0.9290 0.8281
```

Fermi-level density of states = 0.56 states/eV per atom

List of relative energies, unit meV/atom: one 0; two 10

## one
This record from Alexandria via LeMat-Bulk describes a relaxed Y2BeRh2 crystal. The functional is GGA-PBE.

```
Y2BeRh2
1.0
-6.1409 -1.9766 -1.0791
-0.7774 -1.0811 6.4039
-1.4241 4.1375 0.5256
Y Rh Be
4 4 2
direct
0.6745 0.8255 0.5000
0.8255 0.3255 0.5000
0.1745 0.6745 0.5000
0.3255 0.1745 0.5000
0.1445 0.3555 0.0000
0.8555 0.6445 0.0000
0.6445 0.1445 0.0000
0.3555 0.8555 0.0000
0.5000 0.5000 0.0000
0.0000 0.0000 0.0000
```

Fermi-level density of states = 0.81 states/eV per atom

## two
This record from Alexandria via LeMat-Bulk describes a relaxed Y2BeRh2 crystal. The functional is GGA-PBE.

```
Y2BeRh2
1.0
5.7715 0.3770 -0.0023
2.9445 4.9782 -0.0023
1.2866 0.7905 6.8957
Be Rh Y
2 4 4
direct
0.1015 0.8985 0.2500
0.8985 0.1015 0.7500
0.7470 0.9997 0.5095
0.2530 0.0003 0.4905
0.0003 0.2530 0.9905
0.9997 0.7470 0.0095
0.4839 0.2224 0.1486
0.5161 0.7776 0.8514
0.2224 0.4839 0.6486
0.7776 0.5161 0.3514
```

Fermi-level density of states = 0.55 states/eV per atom

List of relative energies, unit meV/atom: one 179; two 0

## one
This record from Alexandria via LeMat-Bulk describes a relaxed Be3ZnRh crystal. The functional is GGA-PBE.

```
Be3ZnRh
1.0
-2.3105 2.2849 2.6310
-3.4820 -1.6385 -1.6349
0.1376 -3.0945 2.8083
Be Zn Rh
3 1 1
direct
0.0000 0.5000 0.0000
0.0000 0.0000 0.5000
0.5000 0.0000 0.0000
0.5000 0.5000 0.5000
0.0000 0.0000 0.0000
```

Fermi-level density of states = 0.33 states/eV per atom

## two
This record from Alexandria via LeMat-Bulk describes a relaxed Be3ZnRh crystal. The functional is GGA-PBE.

```
Be3ZnRh
1.0
-3.6514 1.4855 0.4644
-1.1553 -3.3805 1.7299
1.0429 1.4562 3.5421
Rh Be Zn
1 3 1
direct
0.5000 0.5000 0.5000
0.0000 0.0000 0.5000
0.0000 0.5000 0.0000
0.5000 0.0000 0.0000
0.0000 0.0000 0.0000
```

Fermi-level density of states = 0.59 states/eV per atom

List of relative energies, unit meV/atom: one 0; two 329

## one
This record from Alexandria via LeMat-Bulk describes a relaxed BeZnRh3 crystal. The functional is GGA-PBE.

```
BeZnRh3
1.0
-0.0992 -1.9383 -3.6329
3.8895 -1.2368 0.5537
-1.3515 -3.4173 1.8602
Be Rh Zn
1 3 1
direct
0.0000 0.0000 0.0000
0.5000 0.0000 0.0000
0.0000 0.5000 0.0000
0.0000 0.0000 0.5000
0.5000 0.5000 0.5000
```

Fermi-level density of states = 0.84 states/eV per atom

## two
This record from Alexandria via LeMat-Bulk describes a relaxed BeZnRh3 crystal. The functional is GGA-PBE.

```
BeZnRh3
1.0
4.5003 0.0000 0.0000
0.0000 4.5003 0.0000
0.0000 0.0000 4.5003
Rh Be Zn
3 1 1
direct
0.0000 0.0000 0.5000
0.0000 0.5000 0.0000
0.5000 0.0000 0.0000
0.5000 0.5000 0.5000
0.0000 0.0000 0.0000
```

Fermi-level density of states = 1.65 states/eV per atom

List of relative energies, unit meV/atom: one 0; two 1179

## one
This record from Alexandria via LeMat-Bulk describes a relaxed BeZn3Rh crystal. The functional is GGA-PBE.

```
BeZn3Rh
1.0
-3.3925 -1.9864 -1.3399
2.3934 -2.6991 -2.0583
0.1136 -2.4534 3.3493
Rh Zn Be
1 3 1
direct
0.5000 0.5000 0.5000
0.5000 0.0000 0.0000
0.0000 0.0000 0.5000
0.0000 0.5000 0.0000
0.0000 0.0000 0.0000
```

Fermi-level density of states = 0.69 states/eV per atom

## two
This record from Alexandria via LeMat-Bulk describes a relaxed BeZn3Rh crystal. The functional is GGA-PBE.

```
BeZn3Rh
1.0
4.7456 0.0000 0.0000
0.0000 4.7456 0.0000
0.0000 0.0000 4.7456
Be Zn Rh
1 3 1
direct
0.5000 0.5000 0.5000
0.0000 0.5000 0.0000
0.5000 0.0000 0.0000
0.0000 0.0000 0.5000
0.0000 0.0000 0.0000
```

Fermi-level density of states = 0.41 states/eV per atom

List of relative energies, unit meV/atom: one 0; two 267

## one
This record from Alexandria via LeMat-Bulk describes a relaxed ZrBe2Rh crystal. The functional is GGA-PBE.

```
ZrBe2Rh
1.0
0.0000 2.9582 2.9582
2.9582 0.0000 2.9582
2.9582 2.9582 0.0000
Zr Be Rh
1 2 1
direct
0.0000 0.0000 0.0000
0.7500 0.7500 0.7500
0.2500 0.2500 0.2500
0.5000 0.5000 0.5000
```

Fermi-level density of states = 0.37 states/eV per atom

## two
This record from Alexandria via LeMat-Bulk describes a relaxed ZrBe2Rh crystal. The functional is GGA-PBE.

```
ZrBe2Rh
1.0
4.2283 -0.0096 0.0077
-3.4455 5.1401 -0.0097
0.0214 1.7808 2.4635
Be Rh Zr
2 1 1
direct
0.0000 0.0000 0.0000
0.0000 0.5000 0.5000
0.5000 0.5000 0.0000
0.5000 0.0000 0.5000
```

Fermi-level density of states = 0.55 states/eV per atom

## three
This record from Alexandria via LeMat-Bulk describes a relaxed ZrBe2Rh crystal. The functional is GGA-PBE.

```
ZrBe2Rh
1.0
2.8882 0.0000 0.0000
0.0000 2.9529 0.0000
0.0000 0.0000 6.1680
Be Zr Rh
2 1 1
direct
0.0000 0.0000 0.0623
0.0000 0.0000 0.4377
0.5000 0.5000 0.7500
0.5000 0.5000 0.2500
```

Fermi-level density of states = 0.78 states/eV per atom

## four
This record from Alexandria via LeMat-Bulk describes a relaxed ZrBe2Rh crystal. The functional is GGA-PBE.

```
ZrBe2Rh
1.0
2.9258 0.0000 0.0000
0.0000 2.9258 0.0000
0.0000 0.0000 6.2696
Rh Zr Be
1 1 2
direct
0.0000 0.0000 0.4362
0.5000 0.5000 0.7535
0.5000 0.5000 0.2475
0.0000 0.0000 0.0629
```

Fermi-level density of states = 0.90 states/eV per atom

List of relative energies, unit meV/atom: one 0; two 260; three 22; four 149

## one
This record from Alexandria via LeMat-Bulk describes a relaxed Zr4BeRh crystal. The functional is GGA-PBE.

```
Zr4BeRh
1.0
-3.0215 -4.0319 -2.3619
-4.6781 -1.7647 2.4422
-4.9411 1.1901 -2.2656
Zr Be Rh
4 1 1
direct
0.3745 0.8766 0.3745
0.8766 0.3745 0.3745
0.3745 0.3745 0.8766
0.3745 0.3745 0.3745
0.7500 0.7500 0.7500
0.0000 0.0000 0.0000
```

Fermi-level density of states = 1.25 states/eV per atom

## two
This record from Alexandria via LeMat-Bulk describes a relaxed Zr4BeRh crystal. The functional is GGA-PBE.

```
Zr4BeRh
1.0
6.4249 0.0000 0.0000
0.0000 6.4249 0.0000
-3.2124 -3.2124 5.6217
Be Zr Rh
2 8 2
direct
0.7500 0.7500 0.5000
0.2500 0.2500 0.5000
0.4750 0.9750 0.2803
0.5250 0.0250 0.7197
0.6947 0.5250 0.7197
0.3053 0.4750 0.2803
0.0250 0.1947 0.7197
0.8053 0.3053 0.2803
0.9750 0.8053 0.2803
0.1947 0.6947 0.7197
0.0000 0.0000 0.0000
0.5000 0.5000 0.0000
```

Fermi-level density of states = 1.09 states/eV per atom

## three
This record from Alexandria via LeMat-Bulk describes a relaxed Zr4BeRh crystal. The functional is GGA-PBE.

```
Zr4BeRh
1.0
-2.1488 3.8128 -3.1043
4.7510 -2.2618 -1.0505
-3.4456 -4.0828 -0.5003
Zr Rh Be
4 1 1
direct
0.5893 0.0893 0.1786
0.9107 0.4107 0.8214
0.4107 0.5893 0.5000
0.0893 0.9107 0.5000
0.0000 0.0000 0.0000
0.5000 0.5000 0.0000
```

Fermi-level density of states = 1.10 states/eV per atom

List of relative energies, unit meV/atom: one 876; two 104; three 0